Entry 1:
Density functional theory data (PBE) for a geometry-optimized BaScVCu2 structure.

Unit cell a=4.868 b=5.766 c=4.868 alpha=90.00 beta=90.00 gamma=90.00
Each line ends with the local moment (μB).
Atoms (fractional coordinates):
1 Sc 0.000 0.000 0.000  0.29
2 Ba 0.000 0.500 0.000  0.16
3 Cu 0.500 0.000 0.000  0.00
4 Cu 0.000 0.000 0.500  0.00
5 V 0.500 0.500 0.500  -0.52

Output
Crystal system: tetragonal
Space group: P4/mmm, No. 123
DFT total energy (eV/cell): -17.78


Entry 2:
Density functional theory data (PBE) for a geometry-optimized BaYScCu2 structure.

Unit cell a=5.188 b=5.364 c=5.188 alpha=90.00 beta=90.00 gamma=90.00
Atoms (fractional coordinates):
1 Cu 0.000 0.000 0.500
2 Y 0.000 0.500 0.000
3 Ba 0.500 0.500 0.500
4 Cu 0.500 0.000 0.000
5 Sc 0.000 0.000 0.000

Output
Crystal system: tetragonal
Space group: P4/mmm, No. 123
DFT total energy (eV/cell): -20.19


Entry 3:
Density functional theory data (PBE) for a geometry-optimized BaZrScCu2 structure.

Unit cell a=5.101 b=5.380 c=5.101 alpha=90.00 beta=90.00 gamma=90.00
Each line ends with the local moment (μB).
Atoms (fractional coordinates):
1 Sc 0.000 0.500 0.000  0.34
2 Ba 0.000 0.000 0.000  0.05
3 Cu 0.500 0.000 0.000  0.01
4 Cu 0.000 0.000 0.500  0.03
5 Zr 0.500 0.500 0.500  0.83

Output
Crystal system: tetragonal
Space group: P4/mmm, No. 123
DFT total energy (eV/cell): -17.30


Entry 4:
Density functional theory data (PBE) for a geometry-optimized BaCu2Se structure.

Unit cell a=5.721 b=5.721 c=5.721 alpha=133.73 beta=133.73 gamma=67.50
Atoms (fractional coordinates):
1 Cu 0.000 0.000 0.000
2 Cu 0.500 0.500 0.000
3 Se 0.250 0.750 0.500
4 Ba 0.750 0.250 0.500

Output
Crystal system: tetragonal
Space group: I4/mmm, No. 139
DFT total energy (eV/cell): -13.73


Entry 5:
Density functional theory data (PBE) for a geometry-optimized Ba2CuSe structure.

Unit cell a=5.563 b=5.563 c=5.563 alpha=60.00 beta=60.00 gamma=60.00
Atoms (fractional coordinates):
1 Cu 0.500 0.500 0.500
2 Se 0.250 0.250 0.250
3 Ba 0.000 0.000 0.000
4 Ba 0.750 0.750 0.750

Output
Crystal system: cubic
Space group: F-43m, No. 216
DFT total energy (eV/cell): -12.32


Entry 6:
Density functional theory data (PBE) for a geometry-optimized Ba2CuSe structure.

Unit cell a=8.427 b=8.427 c=7.500 alpha=55.82 beta=55.82 gamma=90.00
Each line ends with the local moment (μB).
Atoms (fractional coordinates):
1 Cu 0.250 0.750 0.500  0.01
2 Ba 0.629 0.125 0.250  0.08
3 Cu 0.500 0.500 0.000  0.01
4 Se 0.750 0.250 0.500  0.00
5 Ba 0.875 0.879 0.750  0.08
6 Ba 0.121 0.625 0.250  0.09
7 Ba 0.375 0.371 0.750  0.08
8 Se 0.000 0.000 0.000  0.00

Output
Crystal system: tetragonal
Space group: I-42d, No. 122
DFT total energy (eV/cell): -28.50


Entry 7:
Density functional theory data (PBE) for a geometry-optimized BaCuSe2 structure.

Unit cell a=4.724 b=4.724 c=5.773 alpha=70.91 beta=70.91 gamma=80.65
Atoms (fractional coordinates):
1 Se 0.569 0.569 0.514
2 Se 0.931 0.931 0.986
3 Ba 0.250 0.250 0.250
4 Cu 0.750 0.750 0.750

Output
Crystal system: monoclinic
Space group: C2/m, No. 12
DFT total energy (eV/cell): -16.49


Entry 8:
Density functional theory data (PBE) for a geometry-optimized BaCu2Se structure.

Unit cell a=4.300 b=4.300 c=6.361 alpha=70.18 beta=70.18 gamma=59.87
Atoms (fractional coordinates):
1 Se 0.461 0.461 0.616
2 Cu 0.739 0.739 0.784
3 Cu 0.046 0.046 0.863
4 Ba 0.254 0.254 0.237

Output
Crystal system: monoclinic
Space group: Cm, No. 8
DFT total energy (eV/cell): -15.16


Entry 9:
Density functional theory data (PBE) for a geometry-optimized Ba4CuSe structure.

Unit cell a=7.151 b=7.151 c=7.151 alpha=60.00 beta=60.00 gamma=60.00
Atoms (fractional coordinates):
1 Cu 0.750 0.750 0.750
2 Ba 0.374 0.374 0.878
3 Ba 0.374 0.878 0.374
4 Ba 0.374 0.374 0.374
5 Ba 0.878 0.374 0.374
6 Se 0.000 0.000 0.000

Output
Crystal system: cubic
Space group: F-43m, No. 216
DFT total energy (eV/cell): -13.21


Entry 10:
Density functional theory data (PBE) for a geometry-optimized BaCu2Se structure.

Unit cell a=4.052 b=4.137 c=5.923 alpha=79.04 beta=90.00 gamma=90.00
Atoms (fractional coordinates):
1 Ba 0.500 0.822 0.709
2 Se 0.000 0.417 0.431
3 Cu 0.500 0.296 0.188
4 Cu 0.000 0.965 0.172

Output
Crystal system: monoclinic
Space group: Pm, No. 6
DFT total energy (eV/cell): -15.08


Entry 11:
Density functional theory data (PBE) for a geometry-optimized BaCuSe2 structure.

Unit cell a=6.926 b=6.926 c=6.926 alpha=36.26 beta=36.26 gamma=36.26
Atoms (fractional coordinates):
1 Cu 0.750 0.750 0.750
2 Ba 0.250 0.250 0.250
3 Se 0.023 0.023 0.023
4 Se 0.477 0.477 0.477

Output
Crystal system: trigonal
Space group: R-3m, No. 166
DFT total energy (eV/cell): -16.03


Entry 12:
Density functional theory data (PBE) for a geometry-optimized Ba2CuSe structure.

Unit cell a=6.491 b=6.491 c=5.136 alpha=90.00 beta=90.00 gamma=39.00
Atoms (fractional coordinates):
1 Ba 0.748 0.748 0.625
2 Se 0.271 0.271 0.125
3 Cu 0.482 0.482 0.625
4 Ba 0.999 0.999 0.125

Output
Crystal system: orthorhombic
Space group: Amm2, No. 38
DFT total energy (eV/cell): -14.79


Entry 13:
Density functional theory data (PBE) for a geometry-optimized BaCu2Se structure.

Unit cell a=4.463 b=4.541 c=5.013 alpha=90.04 beta=90.00 gamma=90.00
Atoms (fractional coordinates):
1 Cu 0.000 0.250 0.508
2 Cu 0.000 0.250 0.992
3 Se 0.500 0.250 0.250
4 Ba 0.500 0.750 0.750

Output
Crystal system: orthorhombic
Space group: Pmmm, No. 47
DFT total energy (eV/cell): -15.59


Entry 14:
Density functional theory data (PBE) for a geometry-optimized BaCuSe2 structure.

Unit cell a=7.835 b=7.835 c=7.835 alpha=38.56 beta=38.56 gamma=38.56
Each line ends with the local moment (μB).
Atoms (fractional coordinates):
1 Ba 0.500 0.500 0.500  0.02
2 Se 0.898 0.898 0.898  0.19
3 Cu 0.000 0.000 0.000  0.24
4 Se 0.102 0.102 0.102  0.19

Output
Crystal system: trigonal
Space group: R-3m, No. 166
DFT total energy (eV/cell): -16.21


Entry 15:
Density functional theory data (PBE) for a geometry-optimized BaCu2Se structure.

Unit cell a=3.830 b=3.828 c=6.370 alpha=90.00 beta=90.00 gamma=90.00
Atoms (fractional coordinates):
1 Cu 0.000 0.000 0.064
2 Ba 0.500 0.500 0.750
3 Cu 0.000 0.000 0.436
4 Se 0.500 0.500 0.250

Output
Crystal system: tetragonal
Space group: P4/mmm, No. 123
DFT total energy (eV/cell): -13.54


Entry 16:
Density functional theory data (PBE) for a geometry-optimized BaCu4Se structure.

Unit cell a=5.382 b=5.382 c=5.382 alpha=60.00 beta=60.00 gamma=60.00
Atoms (fractional coordinates):
1 Cu 0.623 0.623 0.623
2 Cu 0.623 0.623 0.132
3 Ba 0.000 0.000 0.000
4 Se 0.250 0.250 0.250
5 Cu 0.132 0.623 0.623
6 Cu 0.623 0.132 0.623

Output
Crystal system: cubic
Space group: F-43m, No. 216
DFT total energy (eV/cell): -22.14


Entry 17:
Density functional theory data (PBE) for a geometry-optimized BaCu2Se structure.

Unit cell a=5.143 b=5.143 c=5.143 alpha=120.03 beta=120.03 gamma=89.95
Atoms (fractional coordinates):
1 Cu 0.250 0.750 0.500
2 Ba 0.750 0.250 0.500
3 Se 0.500 0.500 0.000
4 Cu 0.000 0.000 0.000

Output
Crystal system: cubic
Space group: F-43m, No. 216
DFT total energy (eV/cell): -13.90


Entry 18:
Density functional theory data (PBE) for a geometry-optimized BaCuSe4 structure.

Unit cell a=5.925 b=5.925 c=5.925 alpha=60.00 beta=60.00 gamma=60.00
Atoms (fractional coordinates):
1 Se 0.373 0.373 0.373
2 Se 0.373 0.881 0.373
3 Cu 0.000 0.000 0.000
4 Ba 0.750 0.750 0.750
5 Se 0.881 0.373 0.373
6 Se 0.373 0.373 0.881

Output
Crystal system: cubic
Space group: F-43m, No. 216
DFT total energy (eV/cell): -20.39


Entry 19:
Density functional theory data (PBE) for a geometry-optimized BaCuSe2 structure.

Unit cell a=3.727 b=3.727 c=7.137 alpha=90.00 beta=90.00 gamma=90.00
Atoms (fractional coordinates):
1 Se 0.000 0.000 0.962
2 Cu 0.500 0.500 0.750
3 Se 0.000 0.000 0.538
4 Ba 0.500 0.500 0.250

Output
Crystal system: tetragonal
Space group: P4/mmm, No. 123
DFT total energy (eV/cell): -14.78


Entry 20:
Density functional theory data (PBE) for a geometry-optimized Ba2CuSe2 structure.

Unit cell a=8.600 b=8.600 c=4.290 alpha=90.00 beta=90.00 gamma=90.00
Atoms (fractional coordinates):
1 Cu 0.500 0.500 0.000
2 Ba 0.846 0.346 0.500
3 Se 0.156 0.344 0.000
4 Se 0.844 0.656 0.000
5 Se 0.656 0.156 0.000
6 Ba 0.346 0.154 0.500
7 Cu 0.000 0.000 0.000
8 Se 0.344 0.844 0.000
9 Ba 0.654 0.846 0.500
10 Ba 0.154 0.654 0.500

Output
Crystal system: tetragonal
Offset from the most stable computed form (eV per atom): 0.043
Space group: P4/mbm, No. 127
DFT total energy (eV/cell): -40.89


Entry 21:
Density functional theory data (PBE) for a geometry-optimized BaCu2Se structure.

Unit cell a=6.058 b=6.058 c=6.058 alpha=43.14 beta=43.14 gamma=43.14
Atoms (fractional coordinates):
1 Cu 0.947 0.947 0.947
2 Ba 0.750 0.750 0.750
3 Cu 0.553 0.553 0.553
4 Se 0.250 0.250 0.250

Output
Crystal system: trigonal
Space group: R-3m, No. 166
DFT total energy (eV/cell): -14.54


Entry 22:
Density functional theory data (PBE) for a geometry-optimized BaCu2Se structure.

Unit cell a=3.808 b=3.808 c=6.903 alpha=90.00 beta=90.00 gamma=90.00
Atoms (fractional coordinates):
1 Se 0.000 0.000 0.479
2 Ba 0.500 0.500 0.714
3 Cu 0.000 0.000 0.134
4 Cu 0.500 0.500 0.173

Output
Crystal system: tetragonal
Space group: P4mm, No. 99
DFT total energy (eV/cell): -14.41


Entry 23:
Density functional theory data (PBE) for a geometry-optimized BaCuSe2 structure.

Unit cell a=4.989 b=4.543 c=4.994 alpha=90.00 beta=90.00 gamma=90.00
Atoms (fractional coordinates):
1 Se 0.500 0.001 0.375
2 Ba 0.000 0.501 0.375
3 Se 0.000 0.000 0.875
4 Cu 0.500 0.998 0.875

Output
Crystal system: tetragonal
Space group: P4mm, No. 99
DFT total energy (eV/cell): -16.95


Entry 24:
Density functional theory data (PBE) for a geometry-optimized BaCuSe2 structure.

Unit cell a=5.064 b=5.067 c=4.019 alpha=90.00 beta=90.00 gamma=90.00
Atoms (fractional coordinates):
1 Se 0.500 0.500 0.000
2 Ba 0.500 0.000 0.500
3 Cu 0.000 0.500 0.500
4 Se 0.000 0.000 0.000

Output
Crystal system: tetragonal
Space group: P4/mmm, No. 123
DFT total energy (eV/cell): -15.03


Entry 25:
Density functional theory data (PBE) for a geometry-optimized BaCuSe2 structure.

Unit cell a=5.251 b=5.251 c=5.251 alpha=60.00 beta=60.00 gamma=60.00
Atoms (fractional coordinates):
1 Se 0.250 0.250 0.250
2 Se 0.750 0.750 0.750
3 Ba 0.500 0.500 0.500
4 Cu 0.000 0.000 0.000

Output
Crystal system: cubic
Space group: Fm-3m, No. 225
DFT total energy (eV/cell): -15.06


Entry 26:
Density functional theory data (PBE) for a geometry-optimized BaCuSe2 structure.

Unit cell a=5.608 b=5.608 c=5.608 alpha=138.56 beta=109.72 gamma=85.00
Atoms (fractional coordinates):
1 Cu 0.250 0.750 0.500
2 Se 0.065 0.065 0.000
3 Ba 0.750 0.250 0.500
4 Se 0.435 0.435 0.000

Output
Crystal system: orthorhombic
Space group: Immm, No. 71
DFT total energy (eV/cell): -16.38


Entry 27:
Density functional theory data (PBE) for a geometry-optimized BaCuSe2 structure.

Unit cell a=3.815 b=4.482 c=6.615 alpha=90.06 beta=90.00 gamma=90.00
Atoms (fractional coordinates):
1 Se 0.000 0.750 0.508
2 Se 0.000 0.750 0.992
3 Ba 0.500 0.250 0.250
4 Cu 0.500 0.750 0.750

Output
Crystal system: monoclinic
Space group: P2/m, No. 10
DFT total energy (eV/cell): -16.79


Entry 28:
Density functional theory data (PBE) for a geometry-optimized BaCuSe2 structure.

Unit cell a=4.646 b=4.646 c=7.679 alpha=90.00 beta=90.00 gamma=128.34
Atoms (fractional coordinates):
1 Se 0.000 0.000 0.553
2 Ba 0.500 0.500 0.250
3 Cu 0.500 0.500 0.750
4 Se 0.000 0.000 0.947

Output
Crystal system: orthorhombic
Space group: Cmmm, No. 65
DFT total energy (eV/cell): -15.43


Entry 29:
Density functional theory data (PBE) for a geometry-optimized BaCu5Se4 structure.

Unit cell a=5.612 b=7.969 c=10.729 alpha=90.00 beta=90.00 gamma=90.00
Atoms (fractional coordinates):
1 Se 0.094 0.261 0.500
2 Se 0.600 0.000 0.302
3 Cu 0.328 0.240 0.319
4 Cu 0.672 0.740 0.181
5 Cu 0.328 0.240 0.681
6 Cu 0.672 0.260 0.819
7 Se 0.906 0.761 0.000
8 Se 0.400 0.500 0.802
9 Cu 0.687 0.500 0.000
10 Cu 0.672 0.740 0.819
11 Cu 0.313 0.000 0.500
12 Se 0.400 0.500 0.198
13 Cu 0.328 0.760 0.681
14 Ba 0.625 0.500 0.500
15 Ba 0.375 0.000 0.000
16 Se 0.094 0.739 0.500
17 Cu 0.328 0.760 0.319
18 Cu 0.672 0.260 0.181
19 Se 0.906 0.239 0.000
20 Se 0.600 0.000 0.698

Output
Crystal system: orthorhombic
Space group: Pmmn, No. 59
DFT total energy (eV/cell): -80.03


Number 1: spin magnetization 0.1 μB per cell. Number 2: spin magnetization 0.0 μB per cell. Number 3: spin magnetization 1.9 μB per cell. Number 4: spin magnetization 0.0 μB per cell. Number 5: spin magnetization 0.0 μB per cell. Number 6: spin magnetization 1.7 μB per cell. Number 7: spin magnetization 0.0 μB per cell. Number 8: spin magnetization 0.0 μB per cell. Number 9: spin magnetization 0.0 μB per cell. Number 10: spin magnetization 0.0 μB per cell. Number 11: spin magnetization 0.0 μB per cell. Number 12: spin magnetization 0.0 μB per cell. Number 13: spin magnetization 0.0 μB per cell. Number 14: spin magnetization 0.9 μB per cell. Number 15: spin magnetization 0.0 μB per cell. Number 16: spin magnetization 0.0 μB per cell. Number 17: spin magnetization 0.0 μB per cell. Number 18: spin magnetization 0.0 μB per cell. Number 19: spin magnetization 0.0 μB per cell. Number 20: spin magnetization 0.0 μB per cell. Number 21: spin magnetization 0.0 μB per cell. Number 22: spin magnetization 0.0 μB per cell. Number 23: spin magnetization 0.0 μB per cell. Number 24: spin magnetization 0.0 μB per cell. Number 25: spin magnetization 0.0 μB per cell. Number 26: spin magnetization 0.0 μB per cell. Number 27: spin magnetization 0.0 μB per cell. Number 28: spin magnetization 0.1 μB per cell. Number 29: spin magnetization 0.0 μB per cell.